VASP calculation (GGA-PBE) on crystalline KZrIr2 at its relaxed geometry.

Cell: 3.178 3.178 28.633 Å, 90.00 90.00 120.00°
Atoms (fractional coordinates):
K 0.000 0.000 0.000
K 0.333 0.667 0.667
K 0.667 0.333 0.333
Zr 0.000 0.000 0.500
Zr 0.333 0.667 0.167
Zr 0.667 0.333 0.833
Ir 0.000 0.000 0.236
Ir 0.000 0.000 0.764
Ir 0.333 0.667 0.431
Ir 0.333 0.667 0.903
Ir 0.667 0.333 0.097
Ir 0.667 0.333 0.569

Calculated values
The value obtained for the theoretical density is 10.2 Mg/m³. Its space group is R-3m, No. 166. The crystal system is trigonal. The calculation puts the calculated formation energy at 0.7 eV/f.u.

***

VASP calculation (GGA-PBE) on crystalline KZr4Ir at its relaxed geometry.

Cell: 5.814 5.814 5.814 Å, 60.00 60.00 60.00°
Atoms (fractional coordinates):
K 0.000 0.000 0.000
Zr 0.133 0.622 0.622
Zr 0.622 0.133 0.622
Zr 0.622 0.622 0.133
Zr 0.622 0.622 0.622
Ir 0.250 0.250 0.250

Calculated values
The value obtained for the theoretical density is 7.1 Mg/m³. Its space group is F-43m, No. 216. The crystal system is cubic. The calculation puts the calculated formation energy at 4.8 eV/f.u.

***

VASP calculation (GGA-PBE) on crystalline K4ZrIr at its relaxed geometry.

Cell: 6.541 6.541 6.541 Å, 60.00 60.00 60.00°
Atoms (fractional coordinates):
K 0.377 0.377 0.377
K 0.377 0.377 0.869
K 0.377 0.869 0.377
K 0.869 0.377 0.377
Zr 0.000 0.000 0.000
Ir 0.750 0.750 0.750

Calculated values
The value obtained for the theoretical density is 3.7 Mg/m³. Its space group is F-43m, No. 216. The crystal system is cubic. The calculation puts the calculated formation energy at 8.2 eV/f.u.

***

VASP calculation (GGA-PBE) on crystalline KZrIr2 at its relaxed geometry.

Cell: 2.891 2.891 32.848 Å, 90.00 90.00 120.00°
Atoms (fractional coordinates):
K 0.000 0.000 0.000
K 0.333 0.667 0.667
K 0.667 0.333 0.333
Zr 0.000 0.000 0.223
Zr 0.333 0.667 0.890
Zr 0.667 0.333 0.557
Ir 0.000 0.000 0.484
Ir 0.000 0.000 0.752
Ir 0.333 0.667 0.150
Ir 0.333 0.667 0.418
Ir 0.667 0.333 0.085
Ir 0.667 0.333 0.817

Calculated values
The value obtained for the theoretical density is 10.8 Mg/m³. Its space group is R3m, No. 160. The crystal system is trigonal. The calculation puts the calculated formation energy at 2.2 eV/f.u.

***

VASP calculation (GGA-PBE) on crystalline KZrIr at its relaxed geometry.

Cell: 3.716 3.716 7.605 Å, 90.00 90.00 120.00°
Atoms (fractional coordinates):
K 0.000 0.000 0.000
Zr 0.667 0.333 0.478
Ir 0.333 0.667 0.660

Calculated values
The value obtained for the theoretical density is 5.9 Mg/m³. Its space group is P3m1, No. 156. The crystal system is trigonal. The calculation puts the calculated formation energy at 0.4 eV/f.u.

***

VASP calculation (GGA-PBE) on crystalline KZrIr3 at its relaxed geometry.

Cell: 4.645 4.645 4.645 Å, 90.00 90.00 90.00°
Atoms (fractional coordinates):
K 0.000 0.000 0.000
Zr 0.500 0.500 0.500
Ir 0.000 0.000 0.500
Ir 0.000 0.500 0.000
Ir 0.500 0.000 0.000

Calculated values
The value obtained for the theoretical density is 11.7 Mg/m³. Its space group is Pm-3m, No. 221. The crystal system is cubic. The calculation puts the calculated formation energy at 11.8 eV/f.u.

***

VASP calculation (GGA-PBE) on crystalline LaIr4 at its relaxed geometry.

Cell: 4.136 4.136 11.188 Å, 90.00 90.00 90.00°
Atoms (fractional coordinates):
La 0.000 0.000 0.000
La 0.500 0.500 0.500
Ir 0.000 0.000 0.393
Ir 0.000 0.000 0.607
Ir 0.000 0.500 0.250
Ir 0.000 0.500 0.750
Ir 0.500 0.000 0.250
Ir 0.500 0.000 0.750
Ir 0.500 0.500 0.107
Ir 0.500 0.500 0.893

Calculated values
The value obtained for the theoretical density is 15.8 Mg/m³. Its space group is I4/mmm, No. 139. The crystal system is tetragonal. The calculation puts the calculated formation energy at -0.9 eV/f.u.

***

VASP calculation (GGA-PBE) on crystalline La5Ir4 at its relaxed geometry.

Cell: 8.554 8.554 7.307 Å, 90.00 90.00 120.00°
Atoms (fractional coordinates):
La 0.000 0.257 0.250
La 0.000 0.743 0.750
La 0.257 0.000 0.250
La 0.257 0.257 0.750
La 0.333 0.667 0.000
La 0.333 0.667 0.500
La 0.667 0.333 0.000
La 0.667 0.333 0.500
La 0.743 0.000 0.750
La 0.743 0.743 0.250
Ir 0.000 0.000 0.000
Ir 0.000 0.000 0.500
Ir 0.000 0.404 0.750
Ir 0.000 0.596 0.250
Ir 0.404 0.000 0.750
Ir 0.404 0.404 0.250
Ir 0.596 0.000 0.250
Ir 0.596 0.596 0.750

Calculated values
The value obtained for the theoretical density is 10.5 Mg/m³. Its space group is P6_3/mcm, No. 193. The crystal system is hexagonal. The calculation puts the calculated formation energy at -5.2 eV/f.u.

***

VASP calculation (GGA-PBE) on crystalline La4Ir at its relaxed geometry.

Cell: 6.966 6.966 6.966 Å, 90.00 90.00 90.00°
Atoms (fractional coordinates):
La 0.250 0.250 0.250
La 0.250 0.250 0.750
La 0.250 0.750 0.250
La 0.250 0.750 0.750
La 0.750 0.250 0.250
La 0.750 0.250 0.750
La 0.750 0.750 0.250
La 0.750 0.750 0.750
Ir 0.000 0.000 0.000
Ir 0.500 0.500 0.500

Calculated values
The value obtained for the theoretical density is 7.3 Mg/m³. Its space group is Im-3m, No. 229. The crystal system is cubic. The calculation puts the calculated formation energy at -0.6 eV/f.u.

***

VASP calculation (GGA-PBE) on crystalline La3Ir2 at its relaxed geometry.

Cell: 7.820 7.820 7.820 Å, 55.26 55.26 55.26°
Atoms (fractional coordinates):
La 0.082 0.750 0.418
La 0.250 0.582 0.918
La 0.418 0.082 0.750
La 0.582 0.918 0.250
La 0.750 0.418 0.082
La 0.918 0.250 0.582
Ir 0.167 0.167 0.167
Ir 0.333 0.333 0.333
Ir 0.667 0.667 0.667
Ir 0.833 0.833 0.833

Calculated values
The value obtained for the theoretical density is 8.8 Mg/m³. Its space group is R-3c, No. 167. The crystal system is trigonal. The calculation puts the calculated formation energy at -3.4 eV/f.u.

***

VASP calculation (GGA-PBE) on crystalline La5Ir3 at its relaxed geometry.

Cell: 8.461 8.461 6.986 Å, 90.00 90.00 120.00°
Atoms (fractional coordinates):
La 0.000 0.256 0.250
La 0.000 0.744 0.750
La 0.256 0.000 0.250
La 0.256 0.256 0.750
La 0.333 0.667 0.000
La 0.333 0.667 0.500
La 0.667 0.333 0.000
La 0.667 0.333 0.500
La 0.744 0.000 0.750
La 0.744 0.744 0.250
Ir 0.000 0.386 0.750
Ir 0.000 0.614 0.250
Ir 0.386 0.000 0.750
Ir 0.386 0.386 0.250
Ir 0.614 0.000 0.250
Ir 0.614 0.614 0.750

Calculated values
The value obtained for the theoretical density is 9.7 Mg/m³. Its space group is P6_3/mcm, No. 193. The crystal system is hexagonal. The calculation puts the calculated formation energy at -5.1 eV/f.u.

***

VASP calculation (GGA-PBE) on crystalline La4Ir at its relaxed geometry.

Cell: 7.816 6.610 8.049 Å, 90.00 120.99 90.00°
Atoms (fractional coordinates):
La 0.159 0.237 0.329
La 0.159 0.263 0.829
La 0.319 0.750 0.159
La 0.319 0.750 0.659
La 0.681 0.250 0.341
La 0.681 0.250 0.841
La 0.841 0.737 0.171
La 0.841 0.763 0.671
Ir 0.500 0.000 0.000
Ir 0.500 0.500 0.500

Calculated values
The value obtained for the theoretical density is 7.0 Mg/m³. Its space group is P2_1/c, No. 14. The crystal system is monoclinic. The calculation puts the calculated formation energy at -1.6 eV/f.u.

***

theoretical density of number 9 (La4Ir)?
7.3 Mg/m³

***

Which of these has the lowest calculated formation energy?
La5Ir4